## i
A geometry-optimized Hg2RuAu structure, computed with PBE.

Values from the calculation:
For the density of states at the Fermi level, the calculation gives 0.980 states/eV/atom.

Lattice parameters (Å, degrees): 10.2608 10.2608 10.2608 156.91 156.91 32.89
Closest atoms and distances in Å follow each position.
Fractional coordinates of all 8 atoms:
Hg  0.1174  0.6250  0.9924  2 Ru 2.85, 4 Hg 2.86-2.95, 2 Au 2.87
Hg  0.3750  0.3674  0.4924  2 Ru 2.85, 4 Hg 2.86-2.95, 2 Au 2.87
Hg  0.6326  0.1250  0.0076  2 Ru 2.85, 4 Hg 2.86-2.95, 2 Au 2.87
Hg  0.8750  0.8826  0.5076  2 Ru 2.85, 4 Hg 2.86-2.95, 2 Au 2.87
Ru  0.0000  0.0000  0.0000  4 Hg 2.85, 4 Au 2.90
Ru  0.7500  0.2500  0.5000  4 Hg 2.85, 4 Au 2.90
Au  0.2500  0.7500  0.5000  4 Hg 2.87, 4 Ru 2.90
Au  0.5000  0.5000  0.0000  4 Hg 2.87, 4 Ru 2.90



## ii
A geometry-optimized Hg2RuAu structure, computed with PBE.

Values from the calculation:
For the density of states at the Fermi level, the calculation gives 0.505 states/eV/atom.

Lattice parameters (Å, degrees): 5.0262 3.0202 5.3279 90.00 111.69 90.00
Closest atoms and distances in Å follow each position.
Fractional coordinates of all 4 atoms:
Hg  0.0000  0.0000  0.0000  2 Ru 2.91, 4 Au 2.93, 6 Hg 3.02-3.06
Hg  0.0000  0.5000  0.5000  2 Au 2.91, 4 Ru 2.93, 6 Hg 3.02-3.06
Ru  0.5000  0.0000  0.5000  6 Hg 2.91-2.93, 2 Ru 3.02, 4 Au 3.06
Au  0.5000  0.5000  0.0000  6 Hg 2.91-2.93, 2 Au 3.02, 4 Ru 3.06



## iii
A geometry-optimized Hg2RuAu structure, computed with PBE.

Values from the calculation:
For the density of states at the Fermi level, the calculation gives 0.642 states/eV/atom.

Lattice parameters (Å, degrees): 4.7203 4.7203 4.7203 60.00 60.00 60.00
Closest atoms and distances in Å follow each position.
Fractional coordinates of all 4 atoms:
Hg  0.0000  0.0000  0.0000  4 Hg 2.89, 4 Au 2.89
Hg  0.2500  0.2500  0.2500  4 Hg 2.89, 4 Ru 2.89
Ru  0.5000  0.5000  0.5000  4 Hg 2.89, 4 Au 2.89
Au  0.7500  0.7500  0.7500  4 Ru 2.89, 4 Hg 2.89



## iv
A geometry-optimized Hg2RuAu structure, computed with PBE.

Values from the calculation:
For the density of states at the Fermi level, the calculation gives 0.629 states/eV/atom.

Lattice parameters (Å, degrees): 4.9260 4.9260 5.3891 100.21 100.21 36.02
Closest atoms and distances in Å follow each position.
Fractional coordinates of all 4 atoms:
Hg  0.2453  0.2453  0.2401  3 Ru 2.86-2.92, 3 Au 2.91-2.95, 6 Hg 3.02-3.18
Hg  0.7547  0.7547  0.7599  3 Ru 2.86-2.92, 3 Au 2.91-2.95, 6 Hg 3.02-3.18
Ru  0.5000  0.5000  0.0000  6 Hg 2.86-2.92, 2 Ru 3.05, 4 Au 3.10
Au  0.0000  0.0000  0.5000  6 Hg 2.91-2.95, 2 Au 3.05, 4 Ru 3.10



Which is the most stable structure? ii is the most stable.